# 1
The following is a PBE-GGA calculation of a relaxed structure of AsPd3Br, from the Alexandria database.

## Properties
E_form (uncorrected) in eV/atom: 0.19

Unit cell a=4.7459 b=4.7459 c=4.7459 alpha=90.00 beta=90.00 gamma=90.00
Closest atoms and distances in Å follow each position.
Element x y z (fractional)
Pd1 0.5000 0.0000 0.0000  2 As 2.37
Pd2 0.0000 0.0000 0.5000  2 As 2.37
Pd3 0.0000 0.5000 0.0000  2 As 2.37
As1 0.0000 0.0000 0.0000  6 Pd 2.37
Br1 0.5000 0.5000 0.5000  12 Pd 3.36

# 2
The following is a PBE-GGA calculation of a relaxed structure of PrYMgPt, from the Alexandria database.

## Properties
Uncorrected energy in hartree per atom: -0.1928

Unit cell a=5.1985 b=5.1985 c=5.1985 alpha=60.00 beta=60.00 gamma=60.00
Closest atoms and distances in Å follow each position.
Element x y z (fractional)
Pt1 0.0000 0.0000 0.0000  4 Pr 3.18, 4 Y 3.18
Y1 0.7500 0.7500 0.7500  4 Mg 3.18, 4 Pt 3.18
Mg1 0.5000 0.5000 0.5000  4 Y 3.18, 4 Pr 3.18
Pr1 0.2500 0.2500 0.2500  4 Mg 3.18, 4 Pt 3.18

Number 1: total moment 0.0 μB per formula unit. Number 2: total moment 0.0 μB per formula unit.